This record from Alexandria describes crystalline TaHgI2 at its relaxed geometry. The functional is PBE. Values from VASP.

Output
- formation energy from raw total energies (eV/atom) = 0.276
- ΔE to the lowest computed polymorph (eV per atom) = 0.000
- space-group type = I-42d (122)

The structure in Quantum ESPRESSO input format:
```
&SYSTEM
  ibrav = 0, nat = 8, ntyp = 3
/
ATOMIC_SPECIES
Hg 200.59 Hg.upf
I 126.90 I.upf
Ta 180.95 Ta.upf
CELL_PARAMETERS angstrom
9.942 0.000 0.000
0.000 9.942 0.000
4.971 4.971 2.910
ATOMIC_POSITIONS crystal
Hg 0.750 0.250 0.500
I 0.264 0.625 0.250
Ta 0.250 0.750 0.500
I 0.875 0.736 0.750
I 0.375 0.514 0.750
I 0.486 0.125 0.250
Hg 0.000 0.000 0.000
Ta 0.500 0.500 0.000
```